(1)
VASP calculation (PBE) on a relaxed HgPt4 crystal.

a = 4.945 Å, b = 4.945 Å, c = 4.945 Å
α = 90.00°, β = 90.00°, γ = 90.00°
Space group Pm-3m (No. 221)
Unique sites:
Hg: 0.000 0.000 0.000 (multiplicity 1)
Pt: 0.000 0.000 0.500 (multiplicity 3)
Pt: 0.500 0.500 0.500 (multiplicity 1)

DFT formation energy ... 1.811 eV/atom
DFT total energy ... -3.08 eV/atom
Offset from the most stable computed form ... 1.766 eV per atom

(2)
VASP calculation (PBE) on a relaxed PaCuSiN crystal.

a = 3.958 Å, b = 3.958 Å, c = 7.818 Å
α = 90.00°, β = 90.00°, γ = 90.00°
Space group P4/nmm (No. 129, origin choice 2)
Unique sites:
Pa: 0.250 0.250 0.149 (multiplicity 2)
Cu: 0.250 0.750 0.500 (multiplicity 2)
Si: 0.250 0.250 0.664 (multiplicity 2)
N: 0.250 0.750 0.000 (multiplicity 2)

DFT total energy ... -7.78 eV/atom
Energy relative to the elements, uncorrected ... -948 meV per atom

(3)
VASP calculation (PBE) on a relaxed Cs2BeBCl6 crystal.

a = 7.775 Å, b = 7.775 Å, c = 9.841 Å
α = 90.00°, β = 90.00°, γ = 90.00°
Space group I4/mmm (No. 139)
Unique sites:
Cs: 0.000 0.500 0.250 (multiplicity 4)
Be: 0.000 0.000 0.000 (multiplicity 2)
B: 0.000 0.000 0.500 (multiplicity 2)
Cl: 0.000 0.000 0.329 (multiplicity 4)
Cl: 0.196 0.196 0.000 (multiplicity 8)

DFT total energy ... -3.33 eV/atom
Energy relative to the elements, uncorrected ... -1014 meV per atom

(4)
VASP calculation (PBE) on a relaxed KTlSn crystal.

a = 12.859 Å, b = 6.426 Å, c = 5.445 Å
α = 90.00°, β = 90.00°, γ = 90.00°
Space group Pnma (No. 62)
Unique sites:
K: 0.224 0.250 0.003 (multiplicity 4)
Tl: 0.000 0.000 0.500 (multiplicity 4)
Sn: 0.056 0.750 0.001 (multiplicity 4)

DFT formation energy ... -0.067 eV/atom
DFT total energy ... -2.56 eV/atom

(5)
VASP calculation (PBE) on a relaxed Ba2SnCl crystal.

a = 3.981 Å, b = 3.981 Å, c = 8.848 Å
α = 90.00°, β = 90.00°, γ = 90.00°
Space group P4/mmm (No. 123)
Unique sites:
Ba: 0.000 0.000 0.249 (multiplicity 2)
Sn: 0.500 0.500 0.000 (multiplicity 1)
Cl: 0.500 0.500 0.500 (multiplicity 1)

DFT total energy ... -3.64 eV/atom
Energy relative to the elements, uncorrected ... -1212 meV per atom
Offset from the most stable computed form ... 0.000 eV per atom

(6)
VASP calculation (PBE) on a relaxed NaAcLaPb crystal.

a = 8.172 Å, b = 8.172 Å, c = 8.172 Å
α = 90.00°, β = 90.00°, γ = 90.00°
Space group F-43m (No. 216)
Unique sites:
Na: 0.000 0.000 0.000 (multiplicity 4)
Ac: 0.250 0.250 0.250 (multiplicity 4)
La: 0.250 0.250 0.750 (multiplicity 4)
Pb: 0.000 0.000 0.500 (multiplicity 4)

DFT formation energy ... -0.236 eV/atom
DFT total energy ... -3.75 eV/atom